PBE LiCdTe2, relaxed; raw formation energy = -0.34 eV per atom; V = 107.0 Å³/cell; total magnetic moment = 0.000 μB/f.u.
1.0
-1.383 -3.876 0.000
1.356 -0.484 4.058
-4.753 1.697 3.830
Cd Li Te
1 1 2
Direct
0.500 0.250 0.250 Cd
0.500 0.750 0.750 Li
0.000 0.995 0.995 Te
0.000 0.505 0.505 Te